A plane-wave DFT calculation with PBE was carried out for a relaxed structure of Cs2PuHg4.

## Properties
Raw total energy (eV/atom): -2.4547
Crystal system: tetragonal
Formation energy from the elements (eV per atom): 0.009

Cell and atoms, written as CIF:
```
data_Cs2PuHg4
_chemical_formula_sum 'Cs4 Pu2 Hg8'
_cell_length_a 6.0298
_cell_length_b 6.0298
_cell_length_c 19.2946
_cell_angle_alpha 90.00
_cell_angle_beta 90.00
_cell_angle_gamma 90.00
_symmetry_space_group_name_H-M 'I 4/m m m'
_symmetry_Int_Tables_number 139
_symmetry_space_group_name_Hall '-I 4 2'
loop_
_atom_site_label
_atom_site_type_symbol
_atom_site_fract_x
_atom_site_fract_y
_atom_site_fract_z
Cs1 Cs 0.0000 0.0000 0.1345
Pu1 Pu 0.0000 0.0000 0.5000
Hg1 Hg 0.0000 0.0000 0.3379
Hg2 Hg 0.0000 0.5000 0.0000
```

A plane-wave DFT calculation with PBE was carried out for a relaxed structure of Cs3Pu3HgS8.

## Properties
Raw total energy (eV/atom): -6.4805
Formation energy without anion corrections (eV per atom): -1.222
Crystal system: monoclinic

Cell and atoms, written as CIF:
```
data_Cs3Pu3HgS8
_chemical_formula_sum 'Cs6 Pu6 Hg2 S16'
_cell_length_a 13.7432
_cell_length_b 8.5022
_cell_length_c 9.1750
_cell_angle_alpha 90.00
_cell_angle_beta 118.52
_cell_angle_gamma 90.00
_symmetry_space_group_name_H-M 'C 1 2/m 1'
_symmetry_Int_Tables_number 12
loop_
_symmetry_equiv_pos_as_xyz
'x,y,z'
'-x,-y,-z'
'-x,y,-z'
'x,-y,z'
'x+1/2,y+1/2,z'
'-x+1/2,-y+1/2,-z'
'-x+1/2,y+1/2,-z'
'x+1/2,-y+1/2,z'
loop_
_atom_site_label
_atom_site_type_symbol
_atom_site_fract_x
_atom_site_fract_y
_atom_site_fract_z
Cs1 Cs 0.0000 0.0000 0.0000
Cs2 Cs 0.2500 0.2500 0.0000
Pu1 Pu 0.0000 0.5000 0.5000
Pu2 Pu 0.2500 0.2500 0.5000
Hg1 Hg 0.0000 0.0000 0.5000
S1 S 0.0319 0.2845 0.3090
S2 S 0.2059 0.0000 0.6622
S3 S 0.2287 0.5000 0.6788
```

A plane-wave DFT calculation with PBE was carried out for a relaxed structure of Cs2PuHg2Se4.

## Properties
Raw total energy (eV/atom): -4.2712
Formation energy without anion corrections (eV per atom): -0.873
Crystal system: monoclinic

Cell and atoms, written as CIF:
```
data_Cs2PuHg2Se4
_chemical_formula_sum 'Cs4 Pu2 Hg4 Se8'
_cell_length_a 17.3423
_cell_length_b 4.2290
_cell_length_c 8.9290
_cell_angle_alpha 90.00
_cell_angle_beta 113.94
_cell_angle_gamma 90.00
_symmetry_space_group_name_H-M 'C 1 2/m 1'
_symmetry_Int_Tables_number 12
loop_
_symmetry_equiv_pos_as_xyz
'x,y,z'
'-x,-y,-z'
'-x,y,-z'
'x,-y,z'
'x+1/2,y+1/2,z'
'-x+1/2,-y+1/2,-z'
'-x+1/2,y+1/2,-z'
'x+1/2,-y+1/2,z'
loop_
_atom_site_label
_atom_site_type_symbol
_atom_site_fract_x
_atom_site_fract_y
_atom_site_fract_z
Cs1 Cs 0.1285 0.0000 0.0722
Pu1 Pu 0.0000 0.0000 0.5000
Hg1 Hg 0.1927 0.5000 0.5220
Se1 Se 0.0231 0.5000 0.2963
Se2 Se 0.1728 0.0000 0.7168
```

A plane-wave DFT calculation with PBE was carried out for a relaxed structure of CsPuHgTe3.

## Properties
Raw total energy (eV/atom): -4.9435
Formation energy without anion corrections (eV per atom): -0.791
Crystal system: monoclinic

Cell and atoms, written as CIF:
```
data_CsPuHgTe3
_chemical_formula_sum 'Cs2 Pu2 Hg2 Te6'
_cell_length_a 9.9234
_cell_length_b 4.6269
_cell_length_c 11.2738
_cell_angle_alpha 90.00
_cell_angle_beta 110.56
_cell_angle_gamma 90.00
_symmetry_space_group_name_H-M 'P 1 21/m 1'
_symmetry_Int_Tables_number 11
loop_
_symmetry_equiv_pos_as_xyz
'x,y,z'
'-x,-y,-z'
'-x,y+1/2,-z'
'x,-y+1/2,z'
loop_
_atom_site_label
_atom_site_type_symbol
_atom_site_fract_x
_atom_site_fract_y
_atom_site_fract_z
Cs1 Cs 0.2300 0.2500 0.2603
Pu1 Pu 0.3211 0.7500 0.8611
Hg1 Hg 0.0887 0.2500 0.6217
Te1 Te 0.1091 0.2500 0.8774
Te2 Te 0.2247 0.7500 0.5520
Te3 Te 0.4741 0.7500 0.1518
```

A plane-wave DFT calculation with PBE was carried out for a relaxed structure of Cs5RbHg2.

## Properties
Raw total energy (eV/atom): -0.8431
Distance to the lowest polymorph of the same formula (meV per atom): 0
Crystal system: orthorhombic
Formation energy from the elements (eV per atom): -0.113

Cell and atoms, written as CIF:
```
data_Cs5RbHg2
_chemical_formula_sum 'Cs10 Rb2 Hg4'
_cell_length_a 5.8938
_cell_length_b 10.2028
_cell_length_c 20.8091
_cell_angle_alpha 90.00
_cell_angle_beta 90.00
_cell_angle_gamma 90.00
_symmetry_space_group_name_H-M 'I m m m'
_symmetry_Int_Tables_number 71
_symmetry_space_group_name_Hall '-I 2 2'
loop_
_atom_site_label
_atom_site_type_symbol
_atom_site_fract_x
_atom_site_fract_y
_atom_site_fract_z
Cs1 Cs 0.0000 0.0000 0.0000
Cs2 Cs 0.0000 0.2470 0.3409
Rb1 Rb 0.0000 0.5000 0.0000
Hg1 Hg 0.0000 0.0000 0.1909
```

A plane-wave DFT calculation with PBE was carried out for a relaxed structure of CsRb2Hg.

## Properties
Raw total energy (eV/atom): -0.8509
Crystal system: trigonal
Formation energy from the elements (eV per atom): -0.078

Cell and atoms, written as CIF:
```
data_CsRb2Hg
_chemical_formula_sum 'Cs3 Rb6 Hg3'
_cell_length_a 5.3214
_cell_length_b 5.3214
_cell_length_c 37.1840
_cell_angle_alpha 90.00
_cell_angle_beta 90.00
_cell_angle_gamma 120.00
_symmetry_space_group_name_H-M 'R -3 m'
_symmetry_Int_Tables_number 166
_symmetry_space_group_name_Hall '-R 3 2"'
loop_
_atom_site_label
_atom_site_type_symbol
_atom_site_fract_x
_atom_site_fract_y
_atom_site_fract_z
Cs1 Cs 0.0000 0.0000 0.0000
Rb1 Rb 0.0000 0.0000 0.2221
Hg1 Hg 0.0000 0.0000 0.5000
```

A plane-wave DFT calculation with PBE was carried out for a relaxed structure of Cs6Rb2Hg.

## Properties
Raw total energy (eV/atom): -0.8632
Distance to the lowest polymorph of the same formula (meV per atom): 0
Crystal system: hexagonal
Formation energy from the elements (eV per atom): -0.046

Cell and atoms, written as CIF:
```
data_Cs6Rb2Hg
_chemical_formula_sum 'Cs6 Rb2 Hg1'
_cell_length_a 13.1706
_cell_length_b 13.1706
_cell_length_c 5.5497
_cell_angle_alpha 90.00
_cell_angle_beta 90.00
_cell_angle_gamma 120.00
_symmetry_space_group_name_H-M 'P -6 2 m'
_symmetry_Int_Tables_number 189
_symmetry_space_group_name_Hall 'P -6 -2'
loop_
_atom_site_label
_atom_site_type_symbol
_atom_site_fract_x
_atom_site_fract_y
_atom_site_fract_z
Cs1 Cs 0.0000 0.2275 0.0000
Cs2 Cs 0.0000 0.6185 0.5000
Rb1 Rb 0.3333 0.6667 0.0000
Hg1 Hg 0.0000 0.0000 0.5000
```

A plane-wave DFT calculation with PBE was carried out for a relaxed structure of Cs3Rb2Hg2.

## Properties
Raw total energy (eV/atom): -0.8725
Crystal system: monoclinic
Formation energy from the elements (eV per atom): -0.144

Cell and atoms, written as CIF:
```
data_Cs3Rb2Hg2
_chemical_formula_sum 'Cs6 Rb4 Hg4'
_cell_length_a 17.0346
_cell_length_b 5.2274
_cell_length_c 11.4479
_cell_angle_alpha 90.00
_cell_angle_beta 112.62
_cell_angle_gamma 90.00
_symmetry_space_group_name_H-M 'C 1 2/m 1'
_symmetry_Int_Tables_number 12
loop_
_symmetry_equiv_pos_as_xyz
'x,y,z'
'-x,-y,-z'
'-x,y,-z'
'x,-y,z'
'x+1/2,y+1/2,z'
'-x+1/2,-y+1/2,-z'
'-x+1/2,y+1/2,-z'
'x+1/2,-y+1/2,z'
loop_
_atom_site_label
_atom_site_type_symbol
_atom_site_fract_x
_atom_site_fract_y
_atom_site_fract_z
Cs1 Cs 0.0000 0.0000 0.0000
Cs2 Cs 0.1235 0.0000 0.4372
Rb1 Rb 0.1696 0.5000 0.8284
Hg1 Hg 0.1784 0.5000 0.2109
```

A plane-wave DFT calculation with PBE was carried out for a relaxed structure of CsRb2Hg.

## Properties
Raw total energy (eV/atom): -0.8173
Crystal system: tetragonal
Formation energy from the elements (eV per atom): -0.045

Cell and atoms, written as CIF:
```
data_CsRb2Hg
_chemical_formula_sum 'Cs1 Rb2 Hg1'
_cell_length_a 6.2247
_cell_length_b 6.2247
_cell_length_c 6.8304
_cell_angle_alpha 90.00
_cell_angle_beta 90.00
_cell_angle_gamma 90.00
_symmetry_space_group_name_H-M 'P 4/m m m'
_symmetry_Int_Tables_number 123
_symmetry_space_group_name_Hall '-P 4 2'
loop_
_atom_site_label
_atom_site_type_symbol
_atom_site_fract_x
_atom_site_fract_y
_atom_site_fract_z
Cs1 Cs 0.0000 0.0000 0.0000
Rb1 Rb 0.0000 0.5000 0.5000
Hg1 Hg 0.5000 0.5000 0.0000
```

A plane-wave DFT calculation with PBE was carried out for a relaxed structure of Cs2RbHg3.

## Properties
Raw total energy (eV/atom): -0.8136
Distance to the lowest polymorph of the same formula (meV per atom): 0
Crystal system: orthorhombic
Formation energy from the elements (eV per atom): -0.217

Cell and atoms, written as CIF:
```
data_Cs2RbHg3
_chemical_formula_sum 'Cs8 Rb4 Hg12'
_cell_length_a 18.7162
_cell_length_b 10.8064
_cell_length_c 6.2697
_cell_angle_alpha 90.00
_cell_angle_beta 90.00
_cell_angle_gamma 90.00
_symmetry_space_group_name_H-M 'C m c m'
_symmetry_Int_Tables_number 63
_symmetry_space_group_name_Hall '-C 2c 2'
loop_
_atom_site_label
_atom_site_type_symbol
_atom_site_fract_x
_atom_site_fract_y
_atom_site_fract_z
Cs1 Cs 0.1668 0.1667 0.2500
Rb1 Rb 0.0000 0.3331 0.7500
Hg1 Hg 0.0000 0.0000 0.0000
Hg2 Hg 0.1609 0.5000 0.0000
```